First-principles (PBE) data for crystalline Re2TcAg at its relaxed geometry, as listed in Alexandria.

Unit cell a=3.8992 b=3.8992 c=3.9957 alpha=90.00 beta=90.00 gamma=90.00
Last column: nearest neighbours and their distance in Å.
Space group P4/mmm (No. 123)
Symmetry-distinct sites (fractional):
Re1 0.0000 0.5000 0.0000 [2 per cell]  4 Re 2.76, 4 Tc 2.79, 4 Ag 2.79
Tc1 0.0000 0.0000 0.5000 [1 per cell]  4 Ag 2.76, 8 Re 2.79
Ag1 0.5000 0.5000 0.5000 [1 per cell]  4 Tc 2.76, 8 Re 2.79

Energy = -8.9796 eV per atom
Fermi-level density of states = 3.23 states/eV/f.u.
Mass density = 15.81 g cm⁻³
ΔH_f (0 K) = 52.95 kJ/mol of atoms
ΔE to the lowest computed polymorph = 6.85 kcal/mol of atoms
Crystal system = tetragonal